A | {"formula": "Th3Ga2", "functional": "PBE", "state": "optimized geometry", "cell": [[8.0096, 0.0000, 0.0000], [0.0000, 8.0096, 0.0000], [0.0000, 0.0000, 4.2252]], "species": ["Th", "Th", "Th", "Th", "Th", "Th", "Ga", "Ga", "Ga", "Ga"], "fractional_positions": [[0.6763, 0.8237, 0.5000], [0.3237, 0.1763, 0.5000], [0.1763, 0.6763, 0.5000], [0.8237, 0.3237, 0.5000], [0.0000, 0.0000, 0.0000], [0.5000, 0.5000, 0.0000], [0.3816, 0.8816, 0.0000], [0.8816, 0.6184, 0.0000], [0.6184, 0.1184, 0.0000], [0.1184, 0.3816, 0.0000]], "space_group": "P4/mbm, No. 127", "density_g_cm3": 10.2}

B | {"formula": "Th3Ga2", "functional": "PBE", "state": "optimized geometry", "cell": [[-2.7890, 1.2116, -3.4588], [-2.6466, -4.7687, -2.6023], [-5.8386, -0.6665, 1.4085]], "species": ["Th", "Th", "Th", "Ga", "Ga"], "fractional_positions": [[0.7950, 0.7050, 0.7050], [0.0000, 0.0000, 0.0000], [0.2050, 0.2950, 0.2950], [0.5000, 0.3026, 0.6974], [0.5000, 0.6974, 0.3026]], "space_group": "Immm, No. 71", "density_g_cm3": 10.2}

Stability verdict: A, ahead by 44 meV/atom

A | {"formula": "ThTiGa", "functional": "PBE", "state": "optimized geometry", "cell": [[-0.9412, 0.5011, -3.8691], [0.8195, -4.3815, -0.7668], [-4.1508, 1.3508, 1.1847]], "species": ["Ga", "Ti", "Th"], "fractional_positions": [[0.1669, 0.0000, 0.0000], [0.1666, 0.3333, 0.6667], [0.6665, 0.6667, 0.3333]], "space_group": "P-6m2, No. 187", "density_g_cm3": 8.2}

B | {"formula": "ThTiGa", "functional": "PBE", "state": "optimized geometry", "cell": [[-3.2281, 2.1758, -1.4650], [-2.4784, -1.7691, 2.8336], [1.6152, 5.7753, 5.0185]], "species": ["Th", "Th", "Ga", "Ga", "Ti", "Ti"], "fractional_positions": [[0.2500, 0.2500, 0.6481], [0.7500, 0.7500, 0.3519], [0.7500, 0.7500, 0.7711], [0.2500, 0.2500, 0.2289], [0.7500, 0.2500, 0.0000], [0.2500, 0.7500, 0.0000]], "space_group": "P4/nmm, No. 129", "density_g_cm3": 8.6}

C | {"formula": "ThTiGa", "functional": "PBE", "state": "optimized geometry", "cell": [[3.4734, 0.0000, 0.0000], [0.0000, 3.4734, 0.0000], [-1.7367, -1.7367, 5.5525]], "species": ["Th", "Ti", "Ga"], "fractional_positions": [[0.9977, 0.9977, 0.9954], [0.3037, 0.3037, 0.6074], [0.6986, 0.6986, 0.3972]], "space_group": "I4mm, No. 107", "density_g_cm3": 8.7}

D | {"formula": "ThTiGa", "functional": "PBE", "state": "optimized geometry", "cell": [[-2.1278, 1.9921, 1.4727], [0.8850, -2.7949, 1.4386], [11.0851, 6.9293, 6.6428]], "species": ["Ti", "Ti", "Th", "Th", "Ga", "Ga"], "fractional_positions": [[0.3333, 0.6667, 0.4491], [0.6667, 0.3333, 0.9491], [0.6667, 0.3333, 0.2674], [0.6667, 0.3333, 0.6307], [0.3333, 0.6667, 0.8095], [0.3333, 0.6667, 0.0886]], "space_group": "P-6m2, No. 187", "density_g_cm3": 8.6}

Stability verdict: B, ahead by 202 meV/atom

A | {"formula": "ThTiGa2", "functional": "PBE", "state": "optimized geometry", "cell": [[-2.4096, 1.5027, 3.3303], [0.8003, -1.3774, 4.0765], [2.8837, 4.0286, 3.1446]], "species": ["Th", "Ti", "Ga", "Ga"], "fractional_positions": [[0.0000, 0.0000, 0.0000], [0.5000, 0.5000, 0.5000], [0.7805, 0.7805, 0.6585], [0.2195, 0.2195, 0.3415]], "space_group": "R-3m, No. 166", "density_g_cm3": 7.9}

B | {"formula": "ThTiGa2", "functional": "PBE", "state": "optimized geometry", "cell": [[3.2197, 0.0000, 0.0000], [0.0000, 3.2197, 0.0000], [0.0000, 0.0000, 7.7286]], "species": ["Ga", "Ga", "Ti", "Th"], "fractional_positions": [[0.0000, 0.0000, 0.7884], [0.0000, 0.0000, 0.2116], [0.5000, 0.5000, 0.0000], [0.5000, 0.5000, 0.5000]], "space_group": "P4/mmm, No. 123", "density_g_cm3": 8.7}

Stability verdict: A, ahead by 13 meV/atom

A | {"formula": "ThTi2Ga", "functional": "PBE", "state": "optimized geometry", "cell": [[-0.1802, 2.9182, -2.5913], [0.8367, -2.9121, -3.3377], [-4.4246, -0.7089, -0.4906]], "species": ["Ga", "Th", "Ti", "Ti"], "fractional_positions": [[0.5000, 0.0000, 0.0000], [0.5000, 0.5000, 0.5000], [0.0000, 0.0000, 0.5000], [0.0000, 0.5000, 0.0000]], "space_group": "P4/mmm, No. 123", "density_g_cm3": 8.3}

B | {"formula": "ThTi2Ga", "functional": "PBE", "state": "optimized geometry", "cell": [[4.7994, 0.0000, 0.0000], [2.3997, 4.1564, 0.0000], [2.3997, 1.3855, 3.9200]], "species": ["Ti", "Ti", "Ga", "Th"], "fractional_positions": [[0.7502, 0.7502, 0.7495], [0.2498, 0.2498, 0.2505], [0.5000, 0.5000, 0.5000], [0.0000, 0.0000, 0.0000]], "space_group": "Fm-3m, No. 225", "density_g_cm3": 8.4}

Stability verdict: A, ahead by 67 meV/atom

A | {"formula": "Th2TlGa", "functional": "PBE", "state": "optimized geometry", "cell": [[-4.4302, -0.4792, -0.2998], [0.5595, -4.8817, -0.4656], [-0.2777, -0.4994, 4.9025]], "species": ["Tl", "Ga", "Th", "Th"], "fractional_positions": [[0.5000, 0.5000, 0.5000], [0.5000, 0.0000, 0.0000], [0.0000, 0.5000, 0.0000], [0.0000, 0.0000, 0.5000]], "space_group": "P4/mmm, No. 123", "density_g_cm3": 11.3}

B | {"formula": "Th2TlGa", "functional": "PBE", "state": "optimized geometry", "cell": [[4.2128, 0.0000, 0.0000], [2.1064, 3.6484, 0.0000], [2.1064, 1.2161, 8.0668]], "species": ["Th", "Th", "Tl", "Ga"], "fractional_positions": [[0.2619, 0.2619, 0.2143], [0.7381, 0.7381, 0.7857], [0.5000, 0.5000, 0.5000], [0.0000, 0.0000, 0.0000]], "space_group": "R-3m, No. 166", "density_g_cm3": 9.9}

C | {"formula": "Th2TlGa", "functional": "PBE", "state": "optimized geometry", "cell": [[5.3928, 0.0000, 0.0000], [2.6964, 4.6703, 0.0000], [2.6964, 1.5568, 4.4032]], "species": ["Th", "Th", "Tl", "Ga"], "fractional_positions": [[0.7500, 0.7500, 0.7500], [0.2500, 0.2500, 0.2500], [0.0000, 0.0000, 0.0000], [0.5000, 0.5000, 0.5000]], "space_group": "Fm-3m, No. 225", "density_g_cm3": 11.1}

Stability verdict: A, ahead by 77 meV/atom

A | {"formula": "ThTlGa", "functional": "PBE", "state": "optimized geometry", "cell": [[3.5978, 0.0000, 0.0000], [0.0000, 3.5978, 0.0000], [-1.7989, -1.7989, 6.0068]], "species": ["Th", "Tl", "Ga"], "fractional_positions": [[0.6291, 0.6291, 0.2582], [0.9314, 0.9314, 0.8628], [0.2895, 0.2895, 0.5790]], "space_group": "I4mm, No. 107", "density_g_cm3": 10.8}

B | {"formula": "ThTlGa", "functional": "PBE", "state": "optimized geometry", "cell": [[-4.1619, 1.3881, -0.6264], [-1.4739, -3.0695, 2.9905], [1.1724, 4.1473, 1.4009]], "species": ["Tl", "Ga", "Th"], "fractional_positions": [[0.2553, 0.3333, 0.6667], [0.0543, 0.0000, 0.0000], [0.6904, 0.6667, 0.3333]], "space_group": "P3m1, No. 156", "density_g_cm3": 10.7}

Stability verdict: B, ahead by 135 meV/atom

A | {"formula": "Tm2ThGa", "functional": "PBE", "state": "optimized geometry", "cell": [[4.7017, 0.0000, 0.0000], [0.0000, 4.7416, 0.0000], [0.0000, 0.0000, 4.7416]], "species": ["Tm", "Tm", "Ga", "Th"], "fractional_positions": [[0.0000, 0.5000, 0.0000], [0.0000, 0.0000, 0.5000], [0.5000, 0.0000, 0.0000], [0.5000, 0.5000, 0.5000]], "space_group": "P4/mmm, No. 123", "density_g_cm3": 10.0}

B | {"formula": "Tm2ThGa", "functional": "PBE", "state": "optimized geometry", "cell": [[-0.5942, 3.3664, -0.7023], [-2.3163, 0.1350, 2.6069], [6.3376, 2.2690, 5.5135]], "species": ["Ga", "Tm", "Tm", "Th"], "fractional_positions": [[0.5000, 0.5000, 0.0000], [0.0000, 0.0000, 0.2126], [0.0000, 0.0000, 0.7874], [0.5000, 0.5000, 0.5000]], "space_group": "P4/mmm, No. 123", "density_g_cm3": 10.0}

C | {"formula": "Tm2ThGa", "functional": "PBE", "state": "optimized geometry", "cell": [[3.5340, 0.0000, 0.0000], [1.7670, 3.0605, 0.0000], [1.7670, 1.0202, 10.2586]], "species": ["Tm", "Tm", "Th", "Ga"], "fractional_positions": [[0.2627, 0.2627, 0.2119], [0.0706, 0.0706, 0.7881], [0.5003, 0.5003, 0.4990], [0.6663, 0.6663, 0.0010]], "space_group": "R3m, No. 160", "density_g_cm3": 9.6}

Stability verdict: B, ahead by 97 meV/atom

A | {"formula": "Tm2ThGa6", "functional": "PBE", "state": "optimized geometry", "cell": [[-0.9775, 3.3093, 2.2354], [-6.1434, -3.3060, 2.2078], [6.1674, -0.7851, 3.8592]], "species": ["Ga", "Ga", "Ga", "Ga", "Ga", "Ga", "Tm", "Tm", "Th"], "fractional_positions": [[0.5000, 0.0000, 0.6646], [0.5000, 0.6646, 0.0000], [0.5000, 0.6646, 0.6646], [0.5000, 0.3354, 0.0000], [0.5000, 0.0000, 0.3354], [0.5000, 0.3354, 0.3354], [0.0000, 0.3333, 0.6667], [0.0000, 0.6667, 0.3333], [0.0000, 0.0000, 0.0000]], "space_group": "P6/mmm, No. 191", "density_g_cm3": 8.6}

B | {"formula": "Tm2ThGa6", "functional": "PBE", "state": "optimized geometry", "cell": [[4.2630, 0.0000, 0.0000], [0.0000, 7.0529, 0.0000], [-2.1315, -3.5264, 6.6424]], "species": ["Tm", "Tm", "Ga", "Ga", "Ga", "Ga", "Ga", "Ga", "Th"], "fractional_positions": [[0.1262, 0.1262, 0.2524], [0.8738, 0.8738, 0.7476], [0.6831, 0.8761, 0.3662], [0.6831, 0.4900, 0.3662], [0.3169, 0.5100, 0.6338], [0.5000, 0.1821, 0.0000], [0.3169, 0.1239, 0.6338], [0.5000, 0.8179, 0.0000], [0.0000, 0.5000, 0.0000]], "space_group": "Immm, No. 71", "density_g_cm3": 8.2}

Stability verdict: A, ahead by 176 meV/atom

A | {"formula": "Th2UGa", "functional": "PBE", "state": "optimized geometry", "cell": [[-2.4519, 2.8088, 1.1367], [-3.0294, -2.3025, -0.8451], [0.1099, -2.4863, 6.3804]], "species": ["Th", "Th", "U", "Ga"], "fractional_positions": [[0.0000, 0.0000, 0.2573], [0.0000, 0.0000, 0.7427], [0.5000, 0.5000, 0.0000], [0.5000, 0.5000, 0.5000]], "space_group": "P4/mmm, No. 123", "density_g_cm3": 12.3}

B | {"formula": "Th2UGa", "functional": "PBE", "state": "optimized geometry", "cell": [[-2.0324, -3.8385, 0.6252], [-0.1204, -0.7211, -4.8189], [4.3180, -2.2491, 0.2287]], "species": ["Ga", "Th", "Th", "U"], "fractional_positions": [[0.5000, 0.0000, 0.0000], [0.0000, 0.0000, 0.5000], [0.0000, 0.5000, 0.0000], [0.5000, 0.5000, 0.5000]], "space_group": "P4/mmm, No. 123", "density_g_cm3": 12.3}

C | {"formula": "Th2UGa", "functional": "PBE", "state": "optimized geometry", "cell": [[-0.2591, 2.6915, -1.7774], [-2.0269, 0.0853, -2.5210], [-9.2440, 4.6968, 5.5144]], "species": ["Th", "Th", "Ga", "U"], "fractional_positions": [[0.9082, 0.9082, 0.2753], [0.0918, 0.0918, 0.7247], [0.5000, 0.5000, 0.5000], [0.0000, 0.0000, 0.0000]], "space_group": "R-3m, No. 166", "density_g_cm3": 12.2}

Stability verdict: B, ahead by 38 meV/atom

A | {"formula": "ThVGa", "functional": "PBE", "state": "optimized geometry", "cell": [[-1.9552, -3.1822, 1.1933], [2.2559, -2.4924, -2.9504], [1.6028, 0.5666, 4.1372]], "species": ["Ga", "V", "Th"], "fractional_positions": [[0.8333, 0.6667, 0.3333], [0.8333, 0.0000, 0.0000], [0.3334, 0.3333, 0.6667]], "space_group": "P-6m2, No. 187", "density_g_cm3": 8.6}

B | {"formula": "ThVGa", "functional": "PBE", "state": "optimized geometry", "cell": [[-3.2165, -1.1224, 0.1671], [-0.1296, -0.1356, -3.4056], [3.4847, -4.5421, 1.7562]], "species": ["V", "Th", "Ga"], "fractional_positions": [[0.3049, 0.3049, 0.6099], [0.9945, 0.9945, 0.9891], [0.7005, 0.7005, 0.4010]], "space_group": "I4mm, No. 107", "density_g_cm3": 9.2}

Stability verdict: A, ahead by 91 meV/atom

A | {"formula": "YTh2Ga", "functional": "PBE", "state": "optimized geometry", "cell": [[4.0102, 0.0000, 0.0000], [0.0000, 4.0102, 0.0000], [0.0000, 0.0000, 7.1446]], "species": ["Y", "Th", "Th", "Ga"], "fractional_positions": [[0.5000, 0.5000, 0.5000], [0.0000, 0.0000, 0.7870], [0.0000, 0.0000, 0.2130], [0.5000, 0.5000, 0.0000]], "space_group": "P4/mmm, No. 123", "density_g_cm3": 9.0}

B | {"formula": "YTh2Ga", "functional": "PBE", "state": "optimized geometry", "cell": [[3.4089, 0.0000, 0.0000], [1.7044, 2.9522, 0.0000], [1.7044, 0.9841, 11.7128]], "species": ["Th", "Th", "Y", "Ga"], "fractional_positions": [[0.9050, 0.9050, 0.2851], [0.0950, 0.0950, 0.7149], [0.0000, 0.0000, 0.0000], [0.5000, 0.5000, 0.5000]], "space_group": "R-3m, No. 166", "density_g_cm3": 8.8}

C | {"formula": "YTh2Ga", "functional": "PBE", "state": "optimized geometry", "cell": [[4.9350, 0.0000, 0.0000], [0.0000, 4.7463, 0.0000], [0.0000, 0.0000, 4.7463]], "species": ["Th", "Th", "Y", "Ga"], "fractional_positions": [[0.0000, 0.5000, 0.0000], [0.0000, 0.0000, 0.5000], [0.5000, 0.5000, 0.5000], [0.5000, 0.0000, 0.0000]], "space_group": "P4/mmm, No. 123", "density_g_cm3": 9.3}

Stability verdict: C, ahead by 58 meV/atom

A | {"formula": "YThGa", "functional": "PBE", "state": "optimized geometry", "cell": [[4.1726, 0.0000, 0.0000], [0.0000, 4.1726, 0.0000], [-2.0863, -2.0863, 11.6682]], "species": ["Ga", "Ga", "Th", "Th", "Y", "Y"], "fractional_positions": [[0.2020, 0.2020, 0.4039], [0.7980, 0.7980, 0.5961], [0.3290, 0.3290, 0.6580], [0.6710, 0.6710, 0.3420], [0.0786, 0.0786, 0.1572], [0.9214, 0.9214, 0.8428]], "space_group": "I4/mmm, No. 139", "density_g_cm3": 6.4}

B | {"formula": "YThGa", "functional": "PBE", "state": "optimized geometry", "cell": [[-2.8864, -0.2296, -2.4274], [0.6281, -4.9747, -0.2763], [-3.0673, 1.9551, 3.4623]], "species": ["Ga", "Y", "Th"], "fractional_positions": [[0.3911, 0.3333, 0.6667], [0.5714, 0.6667, 0.3333], [0.0375, 0.0000, 0.0000]], "space_group": "P3m1, No. 156", "density_g_cm3": 7.9}

Stability verdict: B, ahead by 275 meV/atom